# Tb3Co29Si4B10 (GGA-PBEsol, relaxed)
# Total energy, eV/atom: -7.714
# Space-group type: P4/nmm (129)
# Raw formation energy, eV per atom: -0.485
# Magnetization, μB/f.u.: 15.92
data_Tb3Co29Si4B10
_space_group_name_H-M_alt 'P 1'
_space_group_IT_number 1
_space_group_name_Hall 'P 1'
_cell_length_a 10.9724
_cell_length_b 10.9724
_cell_length_c 7.7134
_cell_angle_alpha 90.00
_cell_angle_beta 90.00
_cell_angle_gamma 90.00
loop_
_atom_site_label
_atom_site_type_symbol
_atom_site_fract_x
_atom_site_fract_y
_atom_site_fract_z
_atom_site_occupancy
Tb1 Tb 0.0000 0.0000 0.0000 1
Tb2 Tb 0.0000 0.5000 0.0000 1
Tb3 Tb 0.2500 0.7500 0.5000 1
Tb4 Tb 0.5000 0.0000 0.0000 1
Tb5 Tb 0.5000 0.5000 0.0000 1
Tb6 Tb 0.7500 0.2500 0.5000 1
Co1 Co 0.0225 0.2500 0.4737 1
Co2 Co 0.0754 0.5882 0.3364 1
Co3 Co 0.0754 0.9118 0.3364 1
Co4 Co 0.0855 0.2500 0.9710 1
Co5 Co 0.0882 0.5754 0.6636 1
Co6 Co 0.0882 0.9246 0.6636 1
Co7 Co 0.1343 0.1343 0.2491 1
Co8 Co 0.1343 0.3657 0.2491 1
Co9 Co 0.1399 0.1399 0.6992 1
Co10 Co 0.1399 0.3601 0.6992 1
Co11 Co 0.1402 0.7500 0.1110 1
Co12 Co 0.2500 0.0225 0.4737 1
Co13 Co 0.2500 0.0855 0.9710 1
Co14 Co 0.2500 0.2500 0.4665 1
Co15 Co 0.2500 0.4145 0.9710 1
Co16 Co 0.2500 0.4775 0.4737 1
Co17 Co 0.2500 0.6402 0.8890 1
Co18 Co 0.2500 0.8598 0.8890 1
Co19 Co 0.3601 0.1399 0.6992 1
Co20 Co 0.3601 0.3601 0.6992 1
Co21 Co 0.3598 0.7500 0.1110 1
Co22 Co 0.3657 0.1343 0.2491 1
Co23 Co 0.3657 0.3657 0.2491 1
Co24 Co 0.4118 0.5754 0.6636 1
Co25 Co 0.4118 0.9246 0.6636 1
Co26 Co 0.4145 0.2500 0.9710 1
Co27 Co 0.4246 0.5882 0.3364 1
Co28 Co 0.4246 0.9118 0.3364 1
Co29 Co 0.4775 0.2500 0.4737 1
Co30 Co 0.5225 0.7500 0.5263 1
Co31 Co 0.5754 0.0882 0.6636 1
Co32 Co 0.5754 0.4118 0.6636 1
Co33 Co 0.5855 0.7500 0.0290 1
Co34 Co 0.5882 0.0754 0.3364 1
Co35 Co 0.5882 0.4246 0.3364 1
Co36 Co 0.6343 0.6343 0.7509 1
Co37 Co 0.6343 0.8657 0.7509 1
Co38 Co 0.6402 0.2500 0.8890 1
Co39 Co 0.6399 0.6399 0.3008 1
Co40 Co 0.6399 0.8601 0.3008 1
Co41 Co 0.7500 0.1402 0.1110 1
Co42 Co 0.7500 0.3598 0.1110 1
Co43 Co 0.7500 0.5225 0.5263 1
Co44 Co 0.7500 0.5855 0.0290 1
Co45 Co 0.7500 0.7500 0.5335 1
Co46 Co 0.7500 0.9145 0.0290 1
Co47 Co 0.7500 0.9775 0.5263 1
Co48 Co 0.8598 0.2500 0.8890 1
Co49 Co 0.8601 0.6399 0.3008 1
Co50 Co 0.8601 0.8601 0.3008 1
Co51 Co 0.8657 0.6343 0.7509 1
Co52 Co 0.8657 0.8657 0.7509 1
Co53 Co 0.9118 0.0754 0.3364 1
Co54 Co 0.9118 0.4246 0.3364 1
Co55 Co 0.9145 0.7500 0.0290 1
Co56 Co 0.9246 0.0882 0.6636 1
Co57 Co 0.9246 0.4118 0.6636 1
Co58 Co 0.9775 0.7500 0.5263 1
Si1 Si 0.0672 0.7500 0.8241 1
Si2 Si 0.2500 0.5672 0.1759 1
Si3 Si 0.2500 0.9328 0.1759 1
Si4 Si 0.4328 0.7500 0.8241 1
Si5 Si 0.5672 0.2500 0.1759 1
Si6 Si 0.7500 0.0672 0.8241 1
Si7 Si 0.7500 0.4328 0.8241 1
Si8 Si 0.9328 0.2500 0.1759 1
B1 B 0.0062 0.7500 0.2633 1
B2 B 0.0649 0.0649 0.4817 1
B3 B 0.0649 0.4351 0.4817 1
B4 B 0.2500 0.2500 0.1088 1
B5 B 0.2500 0.2500 0.8501 1
B6 B 0.2500 0.5062 0.7367 1
B7 B 0.2500 0.9938 0.7367 1
B8 B 0.4351 0.0649 0.4817 1
B9 B 0.4351 0.4351 0.4817 1
B10 B 0.4938 0.7500 0.2633 1
B11 B 0.5062 0.2500 0.7367 1
B12 B 0.5649 0.5649 0.5183 1
B13 B 0.5649 0.9351 0.5183 1
B14 B 0.7500 0.0062 0.2633 1
B15 B 0.7500 0.4938 0.2633 1
B16 B 0.7500 0.7500 0.1499 1
B17 B 0.7500 0.7500 0.8912 1
B18 B 0.9351 0.5649 0.5183 1
B19 B 0.9351 0.9351 0.5183 1
B20 B 0.9938 0.2500 0.7367 1